(1)
Density functional theory data (GGA-PBE) for a geometry-optimized Pm3Dy2Te6 structure.

Results
VASP energy in eV/atom: -5.221
Magnetization in μB/f.u.: 0.00

extended XYZ file:
```
11
Lattice="2.2076 1.2745 21.9376 -2.2076 1.2745 21.9376 0.0000 -2.5491 21.9376" Properties=species:S:1:pos:R:3 pbc="T T T"
Pm 0.0000 0.0000 0.0000
Pm 0.0000 0.0000 18.2789
Pm 0.0000 0.0000 47.5339
Dy 0.0000 0.0000 29.4852
Dy 0.0000 0.0000 36.3277
Te 0.0000 0.0000 5.5952
Te 0.0000 0.0000 12.8150
Te 0.0000 0.0000 23.7803
Te 0.0000 0.0000 42.0326
Te 0.0000 0.0000 52.9979
Te 0.0000 0.0000 60.2177
```

(2)
Density functional theory data (GGA-PBE) for a geometry-optimized PmDy2Te3 structure.

Results
VASP energy in eV/atom: -5.218
Magnetization in μB/f.u.: 0.00

extended XYZ file:
```
6
Lattice="-2.2058 3.0933 6.5836 2.2058 -3.0933 6.5836 2.2058 3.0933 -6.5836" Properties=species:S:1:pos:R:3 pbc="T T T"
Pm 0.0000 0.0000 0.0000
Dy 0.0000 0.0000 4.4864
Dy 0.0000 0.0000 8.6807
Te 2.2058 0.0000 2.2912
Te 0.0000 3.0933 0.0000
Te 0.0000 3.0933 4.2923
```

(3)
Density functional theory data (GGA-PBE) for a geometry-optimized PmDyTe2 structure.

Results
VASP energy in eV/atom: -5.281
Excess energy over the best structure of this formula in the dataset in eV per formula unit: 0.00
Magnetization in μB/f.u.: 0.00

extended XYZ file:
```
4
Lattice="2.1403 1.2357 7.6757 -2.1403 1.2357 7.6757 0.0000 -2.4714 7.6757" Properties=species:S:1:pos:R:3 pbc="T T T"
Pm 0.0000 0.0000 0.0000
Dy 0.0000 0.0000 19.0121
Te 0.0000 0.0000 5.5915
Te 0.0000 0.0000 9.5900
```

(4)
Density functional theory data (GGA-PBE) for a geometry-optimized Pm2DyTe structure.

Results
VASP energy in eV/atom: -4.799
Excess energy over the best structure of this formula in the dataset in eV per formula unit: 0.35
Magnetization in μB/f.u.: 0.00

extended XYZ file:
```
4
Lattice="4.9112 0.0000 0.0000 0.0000 4.9112 0.0000 0.0000 0.0000 4.7663" Properties=species:S:1:pos:R:3 pbc="T T T"
Pm 0.0000 2.4556 0.0000
Pm 2.4556 0.0000 0.0000
Dy 0.0000 0.0000 2.3832
Te 2.4556 2.4556 2.3832
```

(5)
Density functional theory data (GGA-PBE) for a geometry-optimized Pm2Dy3Te6 structure.

Results
VASP energy in eV/atom: -5.154
Excess energy over the best structure of this formula in the dataset in eV per formula unit: 1.14
Magnetization in μB/f.u.: 0.00

extended XYZ file:
```
11
Lattice="2.2138 1.2782 21.4744 -2.2138 1.2782 21.4744 0.0000 -2.5563 21.4744" Properties=species:S:1:pos:R:3 pbc="T T T"
Pm 0.0000 0.0000 3.4660
Pm 0.0000 0.0000 60.9573
Dy 0.0000 0.0000 14.1615
Dy 0.0000 0.0000 32.2117
Dy 0.0000 0.0000 50.2619
Te 0.0000 0.0000 9.0117
Te 0.0000 0.0000 19.6728
Te 0.0000 0.0000 26.9934
Te 0.0000 0.0000 37.4299
Te 0.0000 0.0000 44.7505
Te 0.0000 0.0000 55.4116
```

(6)
Density functional theory data (GGA-PBE) for a geometry-optimized PmDyTe3 structure.

Results
VASP energy in eV/atom: -5.165
Excess energy over the best structure of this formula in the dataset in eV per formula unit: 0.00
Magnetization in μB/f.u.: 0.00

extended XYZ file:
```
20
Lattice="8.2761 0.0000 0.0000 0.0000 4.3832 0.0000 0.0000 0.0000 17.3965" Properties=species:S:1:pos:R:3 pbc="T T T"
Pm 1.1085 1.0958 3.4918
Pm 3.0296 3.2874 12.1900
Pm 5.2465 1.0958 5.2065
Pm 7.1676 3.2874 13.9047
Dy 1.8857 3.2874 7.9757
Dy 2.2524 1.0958 16.6740
Dy 6.0237 3.2874 0.7226
Dy 6.3904 1.0958 9.4208
Te 0.0294 1.0958 6.8329
Te 0.9684 3.2874 1.1162
Te 1.2994 1.0958 13.6575
Te 2.8387 3.2874 4.9592
Te 3.1697 1.0958 9.8144
Te 4.1087 3.2874 15.5312
Te 4.1674 1.0958 1.8653
Te 5.1064 3.2874 7.5821
Te 5.4374 1.0958 12.4373
Te 6.9767 3.2874 3.7391
Te 7.3077 1.0958 16.2804
Te 8.2467 3.2874 10.5636
```

(7)
Density functional theory data (GGA-PBE) for a geometry-optimized Pm3DyTe4 structure.

Results
VASP energy in eV/atom: -5.301
Excess energy over the best structure of this formula in the dataset in eV per formula unit: 0.00
Magnetization in μB/f.u.: 0.00

extended XYZ file:
```
8
Lattice="4.4932 -6.2780 0.0000 4.4932 6.2780 0.0000 0.0000 0.0000 4.3826" Properties=species:S:1:pos:R:3 pbc="T T T"
Pm 0.0000 0.0000 0.0000
Pm 2.2466 3.1390 2.1913
Pm 2.2466 -3.1390 2.1913
Dy 4.4932 0.0000 0.0000
Te 4.4932 3.0973 0.0000
Te 2.3054 0.0000 2.1913
Te 6.6810 0.0000 2.1913
Te 4.4932 -3.0973 0.0000
```

(8)
Density functional theory data (GGA-PBE) for a geometry-optimized PmDyTe2 structure.

Results
VASP energy in eV/atom: -5.133
Excess energy over the best structure of this formula in the dataset in eV per formula unit: 0.59
Magnetization in μB/f.u.: 0.77

extended XYZ file:
```
4
Lattice="0.0000 3.8174 3.8174 3.8174 0.0000 3.8174 3.8174 3.8174 0.0000" Properties=species:S:1:pos:R:3 pbc="T T T"
Pm 0.0000 0.0000 0.0000
Dy 3.8174 3.8174 3.8174
Te 1.9087 1.9087 1.9087
Te 5.7261 5.7261 5.7261
```

(9)
Density functional theory data (GGA-PBE) for a geometry-optimized Pm3Dy2Te8 structure.

Results
VASP energy in eV/atom: -4.990
Magnetization in μB/f.u.: 0.00

extended XYZ file:
```
13
Lattice="7.7447 -4.4149 0.0000 7.7447 4.4149 0.0000 -2.4597 0.0000 7.2040" Properties=species:S:1:pos:R:3 pbc="T T T"
Pm 0.0000 0.0000 0.0000
Pm 6.5148 2.1307 3.6020
Pm 6.5148 -2.1307 3.6020
Dy 1.8254 0.0000 5.9994
Dy 11.2043 0.0000 1.2045
Te 5.5992 2.2231 0.6073
Te 0.8906 0.0000 3.0309
Te 7.4304 2.2231 6.5967
Te 4.4096 0.0000 4.3979
Te 8.6200 0.0000 2.8061
Te 5.5992 -2.2231 0.6073
Te 12.1391 0.0000 4.1731
Te 7.4304 -2.2231 6.5967
```

(10)
Density functional theory data (GGA-PBE) for a geometry-optimized PmDy5Te6 structure.

Results
VASP energy in eV/atom: -5.187
Magnetization in μB/f.u.: 0.00

extended XYZ file:
```
12
Lattice="3.7872 -6.5655 0.0000 3.7872 6.5655 0.0000 -2.5159 0.0000 7.1269" Properties=species:S:1:pos:R:3 pbc="T T T"
Pm 0.0000 0.0000 0.0000
Dy 2.5292 4.4921 3.5635
Dy 3.7872 2.1799 0.0000
Dy 2.5292 0.0000 3.5635
Dy 3.7872 -2.1799 0.0000
Dy 2.5292 -4.4921 3.5635
Te 1.2932 2.2451 1.8229
Te 0.0658 0.0000 5.3587
Te 1.2932 -2.2451 1.8229
Te 3.7653 2.2451 5.3040
Te 4.9927 0.0000 1.7682
Te 3.7653 -2.2451 5.3040
```

(11)
Density functional theory data (GGA-PBE) for a geometry-optimized Pm3DyTe6 structure.

Results
VASP energy in eV/atom: -5.155
Magnetization in μB/f.u.: 0.00

extended XYZ file:
```
20
Lattice="7.4197 0.0000 0.0000 0.0000 8.2510 0.0000 -7.2554 0.0000 11.2979" Properties=species:S:1:pos:R:3 pbc="T T T"
Pm 0.0000 0.0000 0.0000
Pm -3.6277 4.1255 5.6489
Pm -3.1956 0.9925 8.5077
Pm 0.4321 3.1331 2.8588
Pm -0.2678 5.1180 8.4391
Pm 3.3599 7.2586 2.7902
Dy 0.0821 0.0000 5.6489
Dy 3.7098 4.1255 0.0000
Te -1.1854 0.4356 2.8732
Te -4.8131 3.6899 8.5222
Te 1.2275 5.5547 0.9177
Te -2.4002 6.8219 6.5667
Te 2.5523 1.4673 0.8963
Te -1.0755 2.6582 6.5452
Te 1.2397 5.5929 4.7527
Te -2.3880 6.7837 10.4016
Te 2.5645 1.4292 4.7312
Te -1.0633 2.6963 10.3801
Te 4.9773 4.5611 2.7757
Te 1.3496 7.8155 8.4246
```

(12)
Density functional theory data (GGA-PBE) for a geometry-optimized PmDyTe2 structure.

Results
VASP energy in eV/atom: -5.138
Excess energy over the best structure of this formula in the dataset in eV per formula unit: 0.57
Magnetization in μB/f.u.: 0.67

extended XYZ file:
```
4
Lattice="5.3988 0.0000 0.0000 0.0000 5.3988 0.0000 0.0000 0.0000 3.8159" Properties=species:S:1:pos:R:3 pbc="T T T"
Pm 0.0000 0.0000 0.0000
Dy 2.6994 2.6994 0.0000
Te 0.0000 2.6994 1.9080
Te 2.6994 0.0000 1.9080
```

Looking at energy relative to the elements, uncorrected for the records above, in order, we have -1.38, -1.32, -1.37, -0.49, -1.32, -1.41, -1.37, -1.22, -1.25, -1.30, -1.38, -1.23 eV/atom.